Record 1
This record from Alexandria via LeMat-Bulk describes crystalline CaPr2Cd4 at its relaxed geometry. The functional is GGA-PBE.

The structure belongs to space group I4/mmm (No. 139); the cell edges are 5.621, 5.621 and 16.125 Å and the angles 90.00°, 90.00° and 90.00°. The asymmetric unit holds Ca at (0.000, 0.000, 0.000), Pr at (0.000, 0.000, 0.391), Cd at (0.000, 0.000, 0.191) and Cd at (0.000, 0.500, 0.000).

As for the offset from the most stable computed form: 0.324 eV/atom.



Record 2
This record from Alexandria via LeMat-Bulk describes crystalline Zr3Au at its relaxed geometry. The functional is GGA-PBE.

The structure belongs to space group Imm2 (No. 44); the cell edges are 3.235, 9.948 and 5.400 Å and the angles 90.00°, 90.00° and 90.00°. The asymmetric unit holds Zr at (0.000, 0.000, 0.000), Zr at (0.000, 0.227, 0.399) and Au at (0.000, 0.500, 0.055).

The calculation puts the energy at -7.488 eV per atom.



Record 3
This record from Alexandria via LeMat-Bulk describes crystalline NaOsN2O at its relaxed geometry. The functional is GGA-PBE.

The structure belongs to space group P4/mmm (No. 123); the cell edges are 3.882, 3.882 and 3.795 Å and the angles 90.00°, 90.00° and 90.00°. The asymmetric unit holds Na at (0.000, 0.000, 0.000), Os at (0.500, 0.500, 0.500), N at (0.000, 0.500, 0.000) and O at (0.000, 0.000, 0.500).

As for the uncorrected formation energy: 2792 meV/atom.



Record 4
This record from Alexandria via LeMat-Bulk describes crystalline SnHgAu2 at its relaxed geometry. The functional is GGA-PBE.

The structure belongs to space group Pm (No. 6); the cell edges are 4.046, 4.009 and 5.699 Å and the angles 90.00°, 103.80° and 90.00°. The asymmetric unit holds Sn at (0.000, 0.000, 0.000), Hg at (0.353, 0.500, 0.606), Au at (0.520, 0.500, 0.130) and Au at (0.821, 0.000, 0.485).

As for the offset from the most stable computed form: 0.000 eV/atom.